Density functional theory data (PBE) for a geometry-optimized SrMgPb6 structure.

Cell lengths 5.6757, 5.6757, 7.6886 Å; angles 90.00, 90.00, 90.00 degrees
Element x y z (fractional)
Sr  0.0000  0.0000  0.0000
Mg  0.0000  0.0000  0.5000
Pb  0.0000  0.5000  0.2766
Pb  0.0000  0.5000  0.7234
Pb  0.5000  0.0000  0.2766
Pb  0.5000  0.0000  0.7234
Pb  0.5000  0.5000  0.0000
Pb  0.5000  0.5000  0.5000

## Properties
Its formation energy is -0.1344 eV/atom. The space-group type is No. 123. As for the crystal system: tetragonal.